Version A
VASP calculation (meta-GGA SCAN) on a crystal of SrFeW2 relaxed with PBEsol.

Cell: 3.789 3.789 5.004 Å, 90.00 90.00 90.00°
Element x y z (fractional)
Sr1 0.000 0.000 0.000
Fe1 0.500 0.500 0.000
W1 0.000 0.500 0.500
W2 0.500 0.000 0.500

Calculated values
- total magnetization (Bohr magnetons per cell) = 2.6
- theoretical density (g cm⁻³) = 11.815

***

Version B
VASP calculation (meta-GGA SCAN) on a crystal of SrFeW2 relaxed with PBEsol.

Cell: 4.605 4.605 4.605 Å, 60.00 60.00 60.00°
Element x y z (fractional)
Sr1 0.000 0.000 0.000
Fe1 0.750 0.750 0.750
W1 0.250 0.250 0.250
W2 0.500 0.500 0.500

Calculated values
- total magnetization (Bohr magnetons per cell) = 2.2
- theoretical density (g cm⁻³) = 12.294

***

Which is less stable than every other structure shown? version A is.